1.
Material: Pa2TiAs3
Method: DFT, PBE
State: optimized geometry

abc: 3.959 3.959 9.668
angles: 90.00 90.00 120.00
Positions (direct):
1 Pa 0.333 0.667 0.181
2 Pa 0.667 0.333 0.819
3 Ti 0.000 0.000 0.500
4 As 0.000 0.000 0.000
5 As 0.333 0.667 0.640
6 As 0.667 0.333 0.360

DOS at the Fermi energy	7.02	states/eV/cell
ΔH_f (0 K)	-0.9777	eV per atom

---

2.
Material: PaTi2As4
Method: DFT, PBE
State: optimized geometry

abc: 6.223 6.223 12.488
angles: 90.00 90.00 144.09
Positions (direct):
1 Pa 0.116 0.884 0.750
2 Pa 0.884 0.116 0.250
3 Ti 0.369 0.631 0.558
4 Ti 0.369 0.631 0.942
5 Ti 0.631 0.369 0.058
6 Ti 0.631 0.369 0.442
7 As 0.000 0.000 0.000
8 As 0.000 0.000 0.500
9 As 0.264 0.736 0.123
10 As 0.264 0.736 0.377
11 As 0.436 0.564 0.750
12 As 0.564 0.436 0.250
13 As 0.736 0.264 0.623
14 As 0.736 0.264 0.877

DOS at the Fermi energy	6.50	states/eV/cell
ΔH_f (0 K)	-0.8028	eV per atom

---

no.,total moment (μB per cell),E (eV per atom)
1,0.00,-7.78
2,0.00,-7.07